Entry 1:
Computed, not measured: Nd5Sm4Tl after structural relaxation at the PBE level of DFT.

```
data_Nd5Sm4Tl
_chemical_formula_sum 'Nd5 Sm4 Tl1'
_cell_length_a 8.181
_cell_length_b 8.181
_cell_length_c 8.181
_cell_angle_alpha 97.96
_cell_angle_beta 97.96
_cell_angle_gamma 136.32
_symmetry_space_group_name_H-M 'P 1'
_symmetry_Int_Tables_number 1
_symmetry_space_group_name_Hall 'P 1'
loop_
_atom_site_label
_atom_site_type_symbol
_atom_site_fract_x
_atom_site_fract_y
_atom_site_fract_z
_atom_site_occupancy
Nd1 Nd 0.000 0.000 0.000 1
Nd2 Nd 0.527 0.527 0.625 1
Nd3 Nd 0.527 0.902 0.000 1
Nd4 Nd 0.902 0.527 0.000 1
Nd5 Nd 0.902 0.902 0.375 1
Sm1 Sm 0.201 0.516 0.315 1
Sm2 Sm 0.201 0.886 0.685 1
Sm3 Sm 0.516 0.201 0.315 1
Sm4 Sm 0.886 0.201 0.685 1
Tl1 Tl 0.478 0.478 0.000 1
```

Properties
**Energy relative to the lowest polymorph listed for this composition**: 0.107 eV/atom

Entry 2:
Computed, not measured: NdSm5Tl3 after structural relaxation at the PBE level of DFT.

```
data_NdSm5Tl3
_chemical_formula_sum 'Nd2 Sm10 Tl6'
_cell_length_a 9.487
_cell_length_b 9.487
_cell_length_c 9.487
_cell_angle_alpha 124.80
_cell_angle_beta 124.80
_cell_angle_gamma 81.88
_symmetry_space_group_name_H-M 'P 1'
_symmetry_Int_Tables_number 1
_symmetry_space_group_name_Hall 'P 1'
loop_
_atom_site_label
_atom_site_type_symbol
_atom_site_fract_x
_atom_site_fract_y
_atom_site_fract_z
_atom_site_occupancy
Nd1 Nd 0.250 0.750 0.500 1
Nd2 Nd 0.750 0.250 0.500 1
Sm1 Sm 0.000 0.000 0.000 1
Sm2 Sm 0.070 0.570 0.910 1
Sm3 Sm 0.161 0.070 0.500 1
Sm4 Sm 0.339 0.839 0.910 1
Sm5 Sm 0.430 0.339 0.500 1
Sm6 Sm 0.500 0.500 0.000 1
Sm7 Sm 0.570 0.661 0.500 1
Sm8 Sm 0.661 0.161 0.090 1
Sm9 Sm 0.839 0.930 0.500 1
Sm10 Sm 0.930 0.430 0.090 1
Tl1 Tl 0.113 0.387 0.500 1
Tl2 Tl 0.250 0.250 0.000 1
Tl3 Tl 0.387 0.887 0.275 1
Tl4 Tl 0.613 0.113 0.725 1
Tl5 Tl 0.750 0.750 0.000 1
Tl6 Tl 0.887 0.613 0.500 1
```

Properties
**Energy relative to the lowest polymorph listed for this composition**: 0.230 eV/atom

Entry 3:
Computed, not measured: NdSmTl4 after structural relaxation at the PBE level of DFT.

```
data_NdSmTl4
_chemical_formula_sum 'Nd1 Sm1 Tl4'
_cell_length_a 6.253
_cell_length_b 6.253
_cell_length_c 6.253
_cell_angle_alpha 60.00
_cell_angle_beta 60.00
_cell_angle_gamma 60.00
_symmetry_space_group_name_H-M 'P 1'
_symmetry_Int_Tables_number 1
_symmetry_space_group_name_Hall 'P 1'
loop_
_atom_site_label
_atom_site_type_symbol
_atom_site_fract_x
_atom_site_fract_y
_atom_site_fract_z
_atom_site_occupancy
Nd1 Nd 0.000 0.000 0.000 1
Sm1 Sm 0.250 0.250 0.250 1
Tl1 Tl 0.125 0.625 0.625 1
Tl2 Tl 0.625 0.125 0.625 1
Tl3 Tl 0.625 0.625 0.125 1
Tl4 Tl 0.625 0.625 0.625 1
```

Properties
**Energy relative to the lowest polymorph listed for this composition**: 0.000 eV/atom

Entry 4:
Computed, not measured: NdSm3Tl2 after structural relaxation at the PBE level of DFT.

```
data_NdSm3Tl2
_chemical_formula_sum 'Nd2 Sm6 Tl4'
_cell_length_a 8.852
_cell_length_b 8.852
_cell_length_c 9.452
_cell_angle_alpha 118.25
_cell_angle_beta 118.25
_cell_angle_gamma 35.96
_symmetry_space_group_name_H-M 'P 1'
_symmetry_Int_Tables_number 1
_symmetry_space_group_name_Hall 'P 1'
loop_
_atom_site_label
_atom_site_type_symbol
_atom_site_fract_x
_atom_site_fract_y
_atom_site_fract_z
_atom_site_occupancy
Nd1 Nd 0.129 0.129 0.173 1
Nd2 Nd 0.871 0.871 0.827 1
Sm1 Sm 0.059 0.059 0.714 1
Sm2 Sm 0.305 0.305 0.002 1
Sm3 Sm 0.382 0.382 0.455 1
Sm4 Sm 0.618 0.618 0.545 1
Sm5 Sm 0.695 0.695 0.998 1
Sm6 Sm 0.941 0.941 0.286 1
Tl1 Tl 0.225 0.225 0.592 1
Tl2 Tl 0.482 0.482 0.829 1
Tl3 Tl 0.518 0.518 0.171 1
Tl4 Tl 0.775 0.775 0.408 1
```

Properties
**Energy relative to the lowest polymorph listed for this composition**: 0.096 eV/atom

Entry 5:
Computed, not measured: Nd7Sm3Tl2 after structural relaxation at the PBE level of DFT.

```
data_Nd7Sm3Tl2
_chemical_formula_sum 'Nd7 Sm3 Tl2'
_cell_length_a 5.793
_cell_length_b 3.690
_cell_length_c 18.895
_cell_angle_alpha 90.00
_cell_angle_beta 93.77
_cell_angle_gamma 90.00
_symmetry_space_group_name_H-M 'P 1'
_symmetry_Int_Tables_number 1
_symmetry_space_group_name_Hall 'P 1'
loop_
_atom_site_label
_atom_site_type_symbol
_atom_site_fract_x
_atom_site_fract_y
_atom_site_fract_z
_atom_site_occupancy
Nd1 Nd 0.000 0.000 0.000 1
Nd2 Nd 0.174 0.500 0.170 1
Nd3 Nd 0.258 0.500 0.536 1
Nd4 Nd 0.329 0.000 0.848 1
Nd5 Nd 0.671 0.000 0.152 1
Nd6 Nd 0.742 0.500 0.464 1
Nd7 Nd 0.826 0.500 0.830 1
Sm1 Sm 0.219 0.000 0.360 1
Sm2 Sm 0.500 0.500 0.000 1
Sm3 Sm 0.781 0.000 0.640 1
Tl1 Tl 0.297 0.500 0.703 1
Tl2 Tl 0.703 0.500 0.297 1
```

Entry 6:
Computed, not measured: Nd5SmTl2 after structural relaxation at the PBE level of DFT.

```
data_Nd5SmTl2
_chemical_formula_sum 'Nd5 Sm1 Tl2'
_cell_length_a 8.602
_cell_length_b 8.602
_cell_length_c 8.602
_cell_angle_alpha 154.88
_cell_angle_beta 100.17
_cell_angle_gamma 85.29
_symmetry_space_group_name_H-M 'P 1'
_symmetry_Int_Tables_number 1
_symmetry_space_group_name_Hall 'P 1'
loop_
_atom_site_label
_atom_site_type_symbol
_atom_site_fract_x
_atom_site_fract_y
_atom_site_fract_z
_atom_site_occupancy
Nd1 Nd 0.000 0.000 0.000 1
Nd2 Nd 0.084 0.362 0.722 1
Nd3 Nd 0.360 0.638 0.722 1
Nd4 Nd 0.640 0.362 0.278 1
Nd5 Nd 0.916 0.638 0.278 1
Sm1 Sm 0.500 0.000 0.500 1
Tl1 Tl 0.273 0.273 0.000 1
Tl2 Tl 0.727 0.727 0.000 1
```

Properties
**Energy relative to the lowest polymorph listed for this composition**: 0.000 eV/atom

Entry 7:
Computed, not measured: Nd2Sm3Tl2 after structural relaxation at the PBE level of DFT.

```
data_Nd2Sm3Tl2
_chemical_formula_sum 'Nd2 Sm3 Tl2'
_cell_length_a 5.547
_cell_length_b 5.547
_cell_length_c 8.862
_cell_angle_alpha 108.27
_cell_angle_beta 108.27
_cell_angle_gamma 60.04
_symmetry_space_group_name_H-M 'P 1'
_symmetry_Int_Tables_number 1
_symmetry_space_group_name_Hall 'P 1'
loop_
_atom_site_label
_atom_site_type_symbol
_atom_site_fract_x
_atom_site_fract_y
_atom_site_fract_z
_atom_site_occupancy
Nd1 Nd 0.077 0.077 0.231 1
Nd2 Nd 0.923 0.923 0.769 1
Sm1 Sm 0.346 0.346 0.038 1
Sm2 Sm 0.500 0.500 0.500 1
Sm3 Sm 0.654 0.654 0.962 1
Tl1 Tl 0.217 0.217 0.651 1
Tl2 Tl 0.783 0.783 0.349 1
```

Properties
**Energy relative to the lowest polymorph listed for this composition**: 0.000 eV/atom

Entry 8:
Computed, not measured: Nd2SmTl after structural relaxation at the PBE level of DFT.

```
data_Nd2SmTl
_chemical_formula_sum 'Nd2 Sm1 Tl1'
_cell_length_a 3.693
_cell_length_b 3.693
_cell_length_c 9.504
_cell_angle_alpha 90.00
_cell_angle_beta 90.00
_cell_angle_gamma 90.00
_symmetry_space_group_name_H-M 'P 1'
_symmetry_Int_Tables_number 1
_symmetry_space_group_name_Hall 'P 1'
loop_
_atom_site_label
_atom_site_type_symbol
_atom_site_fract_x
_atom_site_fract_y
_atom_site_fract_z
_atom_site_occupancy
Nd1 Nd 0.000 0.000 0.228 1
Nd2 Nd 0.000 0.000 0.772 1
Sm1 Sm 0.500 0.500 0.500 1
Tl1 Tl 0.500 0.500 0.000 1
```

Properties
**Energy relative to the lowest polymorph listed for this composition**: 0.040 eV/atom

Entry 9:
Computed, not measured: NdSm3Tl3 after structural relaxation at the PBE level of DFT.

```
data_NdSm3Tl3
_chemical_formula_sum 'Nd4 Sm12 Tl12'
_cell_length_a 9.544
_cell_length_b 9.544
_cell_length_c 9.544
_cell_angle_alpha 90.00
_cell_angle_beta 90.00
_cell_angle_gamma 90.00
_symmetry_space_group_name_H-M 'P 1'
_symmetry_Int_Tables_number 1
_symmetry_space_group_name_Hall 'P 1'
loop_
_atom_site_label
_atom_site_type_symbol
_atom_site_fract_x
_atom_site_fract_y
_atom_site_fract_z
_atom_site_occupancy
Nd1 Nd 0.074 0.426 0.574 1
Nd2 Nd 0.426 0.574 0.074 1
Nd3 Nd 0.574 0.074 0.426 1
Nd4 Nd 0.926 0.926 0.926 1
Sm1 Sm 0.075 0.575 0.925 1
Sm2 Sm 0.177 0.823 0.323 1
Sm3 Sm 0.178 0.178 0.178 1
Sm4 Sm 0.322 0.822 0.678 1
Sm5 Sm 0.323 0.177 0.823 1
Sm6 Sm 0.425 0.425 0.425 1
Sm7 Sm 0.575 0.925 0.075 1
Sm8 Sm 0.677 0.677 0.677 1
Sm9 Sm 0.678 0.322 0.822 1
Sm10 Sm 0.822 0.678 0.322 1
Sm11 Sm 0.823 0.323 0.177 1
Sm12 Sm 0.925 0.075 0.575 1
Tl1 Tl 0.000 0.252 0.878 1
Tl2 Tl 0.000 0.752 0.622 1
Tl3 Tl 0.122 0.500 0.248 1
Tl4 Tl 0.248 0.122 0.500 1
Tl5 Tl 0.252 0.878 0.000 1
Tl6 Tl 0.378 0.500 0.748 1
Tl7 Tl 0.500 0.248 0.122 1
Tl8 Tl 0.500 0.748 0.378 1
Tl9 Tl 0.622 0.000 0.752 1
Tl10 Tl 0.748 0.378 0.500 1
Tl11 Tl 0.752 0.622 0.000 1
Tl12 Tl 0.878 0.000 0.252 1
```

Properties
**Energy relative to the lowest polymorph listed for this composition**: 0.000 eV/atom

Entry 10:
Computed, not measured: NdSm8Tl2 after structural relaxation at the PBE level of DFT.

```
data_NdSm8Tl2
_chemical_formula_sum 'Nd1 Sm8 Tl2'
_cell_length_a 9.097
_cell_length_b 9.097
_cell_length_c 8.384
_cell_angle_alpha 110.93
_cell_angle_beta 110.93
_cell_angle_gamma 33.43
_symmetry_space_group_name_H-M 'P 1'
_symmetry_Int_Tables_number 1
_symmetry_space_group_name_Hall 'P 1'
loop_
_atom_site_label
_atom_site_type_symbol
_atom_site_fract_x
_atom_site_fract_y
_atom_site_fract_z
_atom_site_occupancy
Nd1 Nd 0.000 0.000 0.000 1
Sm1 Sm 0.100 0.100 0.465 1
Sm2 Sm 0.186 0.186 0.948 1
Sm3 Sm 0.353 0.353 0.792 1
Sm4 Sm 0.448 0.448 0.263 1
Sm5 Sm 0.552 0.552 0.737 1
Sm6 Sm 0.647 0.647 0.208 1
Sm7 Sm 0.814 0.814 0.052 1
Sm8 Sm 0.900 0.900 0.535 1
Tl1 Tl 0.278 0.278 0.359 1
Tl2 Tl 0.722 0.722 0.641 1
```

Properties
**Energy relative to the lowest polymorph listed for this composition**: 0.000 eV/atom

Entry 11:
Computed, not measured: NdSmTl2 after structural relaxation at the PBE level of DFT.

```
data_NdSmTl2
_chemical_formula_sum 'Nd1 Sm1 Tl2'
_cell_length_a 5.496
_cell_length_b 5.496
_cell_length_c 5.496
_cell_angle_alpha 60.00
_cell_angle_beta 60.00
_cell_angle_gamma 60.00
_symmetry_space_group_name_H-M 'P 1'
_symmetry_Int_Tables_number 1
_symmetry_space_group_name_Hall 'P 1'
loop_
_atom_site_label
_atom_site_type_symbol
_atom_site_fract_x
_atom_site_fract_y
_atom_site_fract_z
_atom_site_occupancy
Nd1 Nd 0.000 0.000 0.000 1
Sm1 Sm 0.500 0.500 0.500 1
Tl1 Tl 0.250 0.250 0.250 1
Tl2 Tl 0.750 0.750 0.750 1
```

Entry 12:
Computed, not measured: Nd3Sm6Tl after structural relaxation at the PBE level of DFT.

```
data_Nd3Sm6Tl
_chemical_formula_sum 'Nd6 Sm12 Tl2'
_cell_length_a 12.426
_cell_length_b 3.642
_cell_length_c 14.975
_cell_angle_alpha 90.00
_cell_angle_beta 93.95
_cell_angle_gamma 90.00
_symmetry_space_group_name_H-M 'P 1'
_symmetry_Int_Tables_number 1
_symmetry_space_group_name_Hall 'P 1'
loop_
_atom_site_label
_atom_site_type_symbol
_atom_site_fract_x
_atom_site_fract_y
_atom_site_fract_z
_atom_site_occupancy
Nd1 Nd 0.054 0.250 0.304 1
Nd2 Nd 0.102 0.250 0.084 1
Nd3 Nd 0.427 0.250 0.819 1
Nd4 Nd 0.573 0.750 0.181 1
Nd5 Nd 0.898 0.750 0.916 1
Nd6 Nd 0.946 0.750 0.696 1
Sm1 Sm 0.114 0.750 0.504 1
Sm2 Sm 0.190 0.750 0.891 1
Sm3 Sm 0.206 0.250 0.687 1
Sm4 Sm 0.307 0.750 0.254 1
Sm5 Sm 0.379 0.250 0.044 1
Sm6 Sm 0.437 0.750 0.607 1
Sm7 Sm 0.563 0.250 0.393 1
Sm8 Sm 0.621 0.750 0.956 1
Sm9 Sm 0.693 0.250 0.746 1
Sm10 Sm 0.794 0.750 0.313 1
Sm11 Sm 0.810 0.250 0.109 1
Sm12 Sm 0.886 0.250 0.496 1
Tl1 Tl 0.313 0.250 0.442 1
Tl2 Tl 0.687 0.750 0.558 1
```

Properties
**Energy relative to the lowest polymorph listed for this composition**: 0.000 eV/atom

One value per record, in order, for calculated density: 7.2 9.0 10.7 8.8 7.7 8.1 8.7 8.2 9.2 8.2 9.9 7.6 g/cm3.
One value per record, in order, for VASP energy: -4.382 -3.976 -3.291 -4.119 -4.374 -4.282 -4.267 -4.316 -3.997 -4.398 -3.937 -4.492 eV per atom.
One value per record, in order, for formation energy: 126 -36 -133 -176 -19 -121 -206 -161 -279 -103 -382 6 meV per atom.